A plane-wave DFT calculation with GGA-PBEsol was carried out for an optimized crystal structure of Mn3CrGa.

For the calculated formation energy, the calculation gives 1.457 eV/atom.

The structure belongs to space group Pm-3m (No. 221); the cell edges are 4.535, 4.535 and 4.535 Å and the angles 90.00°, 90.00° and 90.00°. The inequivalent atoms are Mn at (0.000, 0.000, 0.500), Cr at (0.500, 0.500, 0.500) and Ga at (0.000, 0.000, 0.000).

A plane-wave DFT calculation with GGA-PBEsol was carried out for an optimized crystal structure of Mn2Cr3GaS8.

Its uncorrected formation energy is -0.6227 eV/atom.

The structure belongs to space group R-3m (No. 166, hexagonal axes); the cell edges are 7.0572, 7.0572 and 17.3676 Å and the angles 90.00°, 90.00° and 120.00°. The inequivalent atoms are Mn at (0.0000, 0.0000, 0.1251), Cr at (0.0000, 0.5000, 0.0000), Ga at (0.0000, 0.0000, 0.5000), S at (0.0000, 0.0000, 0.2602) and S at (0.0243, 0.5121, 0.2555).

A plane-wave DFT calculation with GGA-PBEsol was carried out for an optimized crystal structure of TiMnCrGa2.

For the calculated formation energy, the calculation gives 0.600 eV/atom.

The structure belongs to space group P4/mmm (No. 123); the cell edges are 4.610, 4.610 and 4.173 Å and the angles 90.00°, 90.00° and 90.00°. The inequivalent atoms are Ti at (0.000, 0.000, 0.000), Mn at (0.500, 0.500, 0.000), Cr at (0.000, 0.000, 0.500) and Ga at (0.000, 0.500, 0.500).

A plane-wave DFT calculation with GGA-PBEsol was carried out for an optimized crystal structure of ZrMnCr2Ga.

For the calculated formation energy, the calculation gives 1.321 eV/atom.

The structure belongs to space group P4/mmm (No. 123); the cell edges are 4.503, 4.503 and 4.969 Å and the angles 90.00°, 90.00° and 90.00°. The inequivalent atoms are Zr at (0.000, 0.000, 0.000), Mn at (0.500, 0.500, 0.000), Cr at (0.000, 0.500, 0.500) and Ga at (0.000, 0.000, 0.500).

A plane-wave DFT calculation with GGA-PBEsol was carried out for an optimized crystal structure of Cr3GaMo.

The energy relative to the lowest polymorph listed for this composition comes out at 0 meV/atom. For the calculated formation energy, the calculation gives 1.571 eV/atom.

The structure belongs to space group Pm-3m (No. 221); the cell edges are 4.541, 4.541 and 4.541 Å and the angles 90.00°, 90.00° and 90.00°. The inequivalent atoms are Cr at (0.000, 0.000, 0.500), Ga at (0.500, 0.500, 0.500) and Mo at (0.000, 0.000, 0.000).

A plane-wave DFT calculation with GGA-PBEsol was carried out for an optimized crystal structure of CrGa2Mo.

For the calculated formation energy, the calculation gives 0.172 eV/atom.

The structure belongs to space group Fm-3m (No. 225); the cell edges are 6.092, 6.092 and 6.092 Å and the angles 90.00°, 90.00° and 90.00°. The inequivalent atoms are Cr at (0.000, 0.000, 0.000), Ga at (0.250, 0.250, 0.250) and Mo at (0.000, 0.000, 0.500).

A plane-wave DFT calculation with GGA-PBEsol was carried out for an optimized crystal structure of Cr3GaMo.

The energy relative to the lowest polymorph listed for this composition comes out at 70 meV/atom. For the calculated formation energy, the calculation gives 1.641 eV/atom.

The structure belongs to space group Pm-3m (No. 221); the cell edges are 4.331, 4.331 and 4.331 Å and the angles 90.00°, 90.00° and 90.00°. The inequivalent atoms are Cr at (0.000, 0.000, 0.500), Ga at (0.000, 0.000, 0.000) and Mo at (0.500, 0.500, 0.500).

A plane-wave DFT calculation with GGA-PBEsol was carried out for an optimized crystal structure of CrGa2MoO.

Its uncorrected formation energy is 0.2753 eV/atom.

The structure belongs to space group P4/mmm (No. 123); the cell edges are 4.805, 4.805 and 3.342 Å and the angles 90.00°, 90.00° and 90.00°. The inequivalent atoms are Cr at (0.000, 0.000, 0.000), Ga at (0.000, 0.500, 0.000), Mo at (0.500, 0.500, 0.500) and O at (0.000, 0.000, 0.500).

A plane-wave DFT calculation with GGA-PBEsol was carried out for an optimized crystal structure of CrGaN3.

Its uncorrected formation energy is 0.6250 eV/atom.

The structure belongs to space group Pm-3m (No. 221); the cell edges are 3.713, 3.713 and 3.713 Å and the angles 90.00°, 90.00° and 90.00°. The inequivalent atoms are Cr at (0.000, 0.000, 0.000), Ga at (0.500, 0.500, 0.500) and N at (0.000, 0.000, 0.500).

A plane-wave DFT calculation with GGA-PBEsol was carried out for an optimized crystal structure of Cr2GaN.

Its uncorrected formation energy is -0.4371 eV/atom.

The structure belongs to space group P6_3/mmc (No. 194); the cell edges are 2.8605, 2.8605 and 12.1794 Å and the angles 90.00°, 90.00° and 120.00°. The inequivalent atoms are Cr at (0.3333, 0.6667, 0.0814), Ga at (0.3333, 0.6667, 0.7500) and N at (0.0000, 0.0000, 0.0000).

A plane-wave DFT calculation with GGA-PBEsol was carried out for an optimized crystal structure of CrGaS2N.

Its uncorrected formation energy is -0.0156 eV/atom.

The structure belongs to space group P4/mmm (No. 123); the cell edges are 4.627, 4.627 and 3.481 Å and the angles 90.00°, 90.00° and 90.00°. The inequivalent atoms are Cr at (0.000, 0.000, 0.000), Ga at (0.500, 0.500, 0.500), S at (0.000, 0.500, 0.000) and N at (0.000, 0.000, 0.500).

A plane-wave DFT calculation with GGA-PBEsol was carried out for an optimized crystal structure of NaCrGa2.

For the calculated formation energy, the calculation gives 0.232 eV/atom.

The structure belongs to space group Fm-3m (No. 225); the cell edges are 6.413, 6.413 and 6.413 Å and the angles 90.00°, 90.00° and 90.00°. The inequivalent atoms are Na at (0.000, 0.000, 0.000), Cr at (0.000, 0.000, 0.500) and Ga at (0.250, 0.250, 0.250).

A plane-wave DFT calculation with GGA-PBEsol was carried out for an optimized crystal structure of NaCr3Ga.

For the calculated formation energy, the calculation gives 2.148 eV/atom.

The structure belongs to space group Pm-3m (No. 221); the cell edges are 4.804, 4.804 and 4.804 Å and the angles 90.00°, 90.00° and 90.00°. The inequivalent atoms are Na at (0.000, 0.000, 0.000), Cr at (0.000, 0.000, 0.500) and Ga at (0.500, 0.500, 0.500).

A plane-wave DFT calculation with GGA-PBEsol was carried out for an optimized crystal structure of NbCr3Ga.

For the calculated formation energy, the calculation gives 1.713 eV/atom.

The structure belongs to space group Pm-3m (No. 221); the cell edges are 4.622, 4.622 and 4.622 Å and the angles 90.00°, 90.00° and 90.00°. The inequivalent atoms are Nb at (0.000, 0.000, 0.000), Cr at (0.000, 0.000, 0.500) and Ga at (0.500, 0.500, 0.500).

A plane-wave DFT calculation with GGA-PBEsol was carried out for an optimized crystal structure of NbCrGa2Te.

Its uncorrected formation energy is 0.9106 eV/atom.

The structure belongs to space group P4/mmm (No. 123); the cell edges are 5.057, 5.057 and 4.597 Å and the angles 90.00°, 90.00° and 90.00°. The inequivalent atoms are Nb at (0.000, 0.000, 0.000), Cr at (0.000, 0.000, 0.500), Ga at (0.000, 0.500, 0.000) and Te at (0.500, 0.500, 0.500).

A plane-wave DFT calculation with GGA-PBEsol was carried out for an optimized crystal structure of CrGa2Ni.

For the calculated formation energy, the calculation gives -0.113 eV/atom.

The structure belongs to space group Fm-3m (No. 225); the cell edges are 5.870, 5.870 and 5.870 Å and the angles 90.00°, 90.00° and 90.00°. The inequivalent atoms are Cr at (0.000, 0.000, 0.000), Ga at (0.250, 0.250, 0.250) and Ni at (0.000, 0.000, 0.500).

A plane-wave DFT calculation with GGA-PBEsol was carried out for an optimized crystal structure of TlCrGa2Ni.

For the calculated formation energy, the calculation gives 1.336 eV/atom.

The structure belongs to space group P4/mmm (No. 123); the cell edges are 5.079, 5.079 and 4.763 Å and the angles 90.00°, 90.00° and 90.00°. The inequivalent atoms are Tl at (0.000, 0.000, 0.000), Cr at (0.500, 0.500, 0.500), Ga at (0.000, 0.500, 0.000) and Ni at (0.000, 0.000, 0.500).

A plane-wave DFT calculation with GGA-PBEsol was carried out for an optimized crystal structure of YCr2GaNi.

For the calculated formation energy, the calculation gives 0.703 eV/atom.

The structure belongs to space group P4/mmm (No. 123); the cell edges are 4.530, 4.530 and 4.854 Å and the angles 90.00°, 90.00° and 90.00°. The inequivalent atoms are Y at (0.000, 0.000, 0.000), Cr at (0.000, 0.500, 0.500), Ga at (0.500, 0.500, 0.000) and Ni at (0.000, 0.000, 0.500).

A plane-wave DFT calculation with GGA-PBEsol was carried out for an optimized crystal structure of YCrGa2Ni.

For the calculated formation energy, the calculation gives 0.654 eV/atom.

The structure belongs to space group P4/mmm (No. 123); the cell edges are 4.598, 4.598 and 4.681 Å and the angles 90.00°, 90.00° and 90.00°. The inequivalent atoms are Y at (0.000, 0.000, 0.000), Cr at (0.000, 0.000, 0.500), Ga at (0.000, 0.500, 0.500) and Ni at (0.500, 0.500, 0.000).

A plane-wave DFT calculation with GGA-PBEsol was carried out for an optimized crystal structure of Cr3GaO.

Its uncorrected formation energy is 1.6662 eV/atom.

The structure belongs to space group Pm-3m (No. 221); the cell edges are 4.642, 4.642 and 4.642 Å and the angles 90.00°, 90.00° and 90.00°. The inequivalent atoms are Cr at (0.000, 0.000, 0.500), Ga at (0.000, 0.000, 0.000) and O at (0.500, 0.500, 0.500).

A plane-wave DFT calculation with GGA-PBEsol was carried out for an optimized crystal structure of Cr2GaSbO.

Its uncorrected formation energy is 0.8528 eV/atom.

The structure belongs to space group P4/mmm (No. 123); the cell edges are 5.127, 5.127 and 4.084 Å and the angles 90.00°, 90.00° and 90.00°. The inequivalent atoms are Cr at (0.000, 0.500, 0.000), Ga at (0.000, 0.000, 0.500), Sb at (0.500, 0.500, 0.000) and O at (0.500, 0.500, 0.500).

A plane-wave DFT calculation with GGA-PBEsol was carried out for an optimized crystal structure of CrGa2SbOs.

Its uncorrected formation energy is 2.0110 eV/atom.

The structure belongs to space group P4/mmm (No. 123); the cell edges are 4.979, 4.979 and 4.863 Å and the angles 90.00°, 90.00° and 90.00°. The inequivalent atoms are Cr at (0.000, 0.000, 0.000), Ga at (0.000, 0.500, 0.500), Sb at (0.000, 0.000, 0.500) and Os at (0.500, 0.500, 0.000).

A plane-wave DFT calculation with GGA-PBEsol was carried out for an optimized crystal structure of CrGa3P.

For the calculated formation energy, the calculation gives 0.727 eV/atom.

The structure belongs to space group Pm-3m (No. 221); the cell edges are 4.693, 4.693 and 4.693 Å and the angles 90.00°, 90.00° and 90.00°. The inequivalent atoms are Cr at (0.000, 0.000, 0.000), Ga at (0.000, 0.500, 0.500) and P at (0.500, 0.500, 0.500).

A plane-wave DFT calculation with GGA-PBEsol was carried out for an optimized crystal structure of CrGa2PW.

For the calculated formation energy, the calculation gives 1.336 eV/atom.

The structure belongs to space group P4/mmm (No. 123); the cell edges are 4.860, 4.860 and 4.489 Å and the angles 90.00°, 90.00° and 90.00°. The inequivalent atoms are Cr at (0.000, 0.000, 0.000), Ga at (0.000, 0.500, 0.500), P at (0.500, 0.500, 0.000) and W at (0.000, 0.000, 0.500).

A plane-wave DFT calculation with GGA-PBEsol was carried out for an optimized crystal structure of ZrCrGaP2.

For the calculated formation energy, the calculation gives 1.072 eV/atom.

The structure belongs to space group P4/mmm (No. 123); the cell edges are 4.584, 4.584 and 4.941 Å and the angles 90.00°, 90.00° and 90.00°. The inequivalent atoms are Zr at (0.000, 0.000, 0.000), Cr at (0.500, 0.500, 0.000), Ga at (0.000, 0.000, 0.500) and P at (0.000, 0.500, 0.500).

A plane-wave DFT calculation with GGA-PBEsol was carried out for an optimized crystal structure of ZrCr2GaPd.

For the calculated formation energy, the calculation gives 1.477 eV/atom.

The structure belongs to space group P4/mmm (No. 123); the cell edges are 4.700, 4.700 and 4.780 Å and the angles 90.00°, 90.00° and 90.00°. The inequivalent atoms are Zr at (0.000, 0.000, 0.000), Cr at (0.000, 0.500, 0.000), Ga at (0.500, 0.500, 0.500) and Pd at (0.000, 0.000, 0.500).

A plane-wave DFT calculation with GGA-PBEsol was carried out for an optimized crystal structure of RbCrGa2Sb.

Its uncorrected formation energy is 0.6579 eV/atom.

The structure belongs to space group P4/mmm (No. 123); the cell edges are 5.584, 5.584 and 5.156 Å and the angles 90.00°, 90.00° and 90.00°. The inequivalent atoms are Rb at (0.000, 0.000, 0.000), Cr at (0.500, 0.500, 0.000), Ga at (0.000, 0.500, 0.500) and Sb at (0.500, 0.500, 0.500).

A plane-wave DFT calculation with GGA-PBEsol was carried out for an optimized crystal structure of CrGaRh2.

For the calculated formation energy, the calculation gives -0.351 eV/atom.

The structure belongs to space group Fm-3m (No. 225); the cell edges are 5.963, 5.963 and 5.963 Å and the angles 90.00°, 90.00° and 90.00°. The inequivalent atoms are Cr at (0.000, 0.000, 0.000), Ga at (0.000, 0.000, 0.500) and Rh at (0.250, 0.250, 0.250).

Record order is preserved below.
DOS at the Fermi energy: 1.4981, 0.2011, 0.8203, 1.0487, 0.9161, 1.5999, 1.0559, 0.8310, 0.5150, 0.9988, 0.4861, 0.4361, 1.1129, 0.9748, 0.9453, 0.8153, 0.8771, 0.9983, 1.3192, 2.0423, 1.1140, 1.1879, 0.3826, 0.8696, 0.8858, 0.8656, 0.6612, 0.9689 states/eV/atom